An optimized crystal structure of ZnHS2N. Source: Alexandria, functional PBE.

a b c (Å): 3.3896 3.3896 6.6508
angles (deg): 90.00 90.00 90.00
Last column: magnetic moment on the atom in μB.
Fractional coordinates of all 5 atoms:
H 0.0000 0.0000 0.0000  0.00
Zn 0.5000 0.5000 0.5000  -0.02
S 0.0000 0.5000 0.0000  0.01
S 0.5000 0.0000 0.0000  0.01
N 0.0000 0.0000 0.5000  0.77

Calculated values
Space group   P4/mmm (123)
Total DFT energy (no corrections)   -15.2 eV per cell

---

An optimized crystal structure of ZrHS2N. Source: Alexandria, functional PBE.

a b c (Å): 4.2729 3.5841 4.2729
angles (deg): 90.00 90.00 90.00
Last column: magnetic moment on the atom in μB.
Fractional coordinates of all 5 atoms:
H 0.0000 0.0000 0.0000  0.00
S 0.0000 0.0000 0.5000  0.01
S 0.5000 0.0000 0.0000  0.03
Zr 0.0000 0.5000 0.0000  0.00
N 0.5000 0.5000 0.5000  0.54

Calculated values
Space group   P4/mmm (123)
Total DFT energy (no corrections)   -24.7 eV per cell

---

An optimized crystal structure of ZrHS2N. Source: Alexandria, functional PBE.

a b c (Å): 5.0379 5.0379 4.3328
angles (deg): 90.00 90.00 90.00
Last column: magnetic moment on the atom in μB.
Fractional coordinates of all 5 atoms:
H 0.5000 0.5000 0.5000  0.35
S 0.0000 0.5000 0.0000  0.17
S 0.5000 0.0000 0.0000  0.17
Zr 0.0000 0.0000 0.0000  -0.06
N 0.0000 0.0000 0.5000  0.98

Calculated values
Space group   P4/mmm (123)
Total DFT energy (no corrections)   -25.8 eV per cell

---

An optimized crystal structure of ZrHS2N. Source: Alexandria, functional PBE.

a b c (Å): 3.3874 3.3874 5.4656
angles (deg): 90.00 90.00 90.00
Fractional coordinates of all 5 atoms:
H 0.0000 0.0000 0.0000
S 0.0000 0.5000 0.0000
S 0.5000 0.0000 0.0000
Zr 0.5000 0.5000 0.5000
N 0.0000 0.0000 0.5000

Calculated values
Space group   P4/mmm (123)
Total DFT energy (no corrections)   -27.4 eV per cell

---

An optimized crystal structure of SbHN. Source: Alexandria, functional PBE.

a b c (Å): 3.5997 3.5997 4.8111
angles (deg): 111.97 111.97 90.00
Fractional coordinates of all 3 atoms:
Sb 0.0875 0.0875 0.1751
N 0.3191 0.3191 0.6381
H 0.4434 0.4434 0.8868

Calculated values
Space group   I4mm (107)
Total DFT energy (no corrections)   -13.6 eV per cell

---

An optimized crystal structure of Sb2H2N. Source: Alexandria, functional PBE.

a b c (Å): 6.2082 6.2082 3.3805
angles (deg): 90.00 90.00 90.00
Fractional coordinates of all 10 atoms:
Sb 0.2495 0.7495 0.5000
Sb 0.7495 0.7505 0.5000
Sb 0.7505 0.2505 0.5000
Sb 0.2505 0.2495 0.5000
H 0.4557 0.9557 0.0000
H 0.9557 0.5443 0.0000
H 0.5443 0.0443 0.0000
H 0.0443 0.4557 0.0000
N 0.0000 0.0000 0.0000
N 0.5000 0.5000 0.0000

Calculated values
Space group   P4/mbm (127)
Total DFT energy (no corrections)   -38.3 eV per cell

---

An optimized crystal structure of SbH2N. Source: Alexandria, functional PBE.

a b c (Å): 4.6579 4.6579 4.6573
angles (deg): 60.00 60.00 90.00
Fractional coordinates of all 8 atoms:
Sb 0.0000 0.0000 0.0000
Sb 0.7500 0.2500 0.5000
H 0.3748 0.1250 0.2500
H 0.3752 0.6250 0.2500
H 0.3750 0.6252 0.7500
H 0.8750 0.6248 0.7500
N 0.5000 0.5000 0.0000
N 0.2500 0.7500 0.5000

Calculated values
Space group   Fd-3m (227)
Total DFT energy (no corrections)   -33.6 eV per cell

---

An optimized crystal structure of Sb2H2N. Source: Alexandria, functional PBE.

a b c (Å): 4.4593 4.4593 4.6435
angles (deg): 61.30 61.30 90.00
Fractional coordinates of all 5 atoms:
Sb 0.7500 0.2500 0.5000
Sb 0.2500 0.7500 0.5000
H 0.4413 0.4413 0.1174
H 0.5587 0.5587 0.8826
N 0.0000 0.0000 0.0000

Calculated values
Space group   I4/mmm (139)
Total DFT energy (no corrections)   -18.5 eV per cell

---

An optimized crystal structure of SbHN3. Source: Alexandria, functional PBE.

a b c (Å): 3.4892 3.4892 3.4892
angles (deg): 90.00 90.00 90.00
Fractional coordinates of all 5 atoms:
Sb 0.5000 0.5000 0.5000
H 0.0000 0.0000 0.0000
N 0.0000 0.5000 0.0000
N 0.0000 0.0000 0.5000
N 0.5000 0.0000 0.0000

Calculated values
Space group   Pm-3m (221)
Total DFT energy (no corrections)   -21.2 eV per cell

---

An optimized crystal structure of SbHN2. Source: Alexandria, functional PBE.

a b c (Å): 4.3768 4.3768 5.5839
angles (deg): 66.93 66.93 90.00
Fractional coordinates of all 8 atoms:
Sb 0.0000 0.0000 0.0000
Sb 0.7500 0.2500 0.5000
H 0.5000 0.5000 0.0000
H 0.2500 0.7500 0.5000
N 0.5873 0.1250 0.2500
N 0.1627 0.6250 0.2500
N 0.3750 0.4127 0.7500
N 0.8750 0.8373 0.7500

Calculated values
Space group   I-42d (122)
Total DFT energy (no corrections)   -40.1 eV per cell

---

An optimized crystal structure of SbHN2. Source: Alexandria, functional PBE.

a b c (Å): 5.5786 5.5786 5.5786
angles (deg): 33.05 33.05 33.05
Fractional coordinates of all 4 atoms:
Sb 0.0000 0.0000 0.0000
H 0.5000 0.5000 0.5000
N 0.8490 0.8490 0.8490
N 0.1510 0.1510 0.1510

Calculated values
Space group   R-3m (166)
Total DFT energy (no corrections)   -16.8 eV per cell

---

An optimized crystal structure of SbH2N. Source: Alexandria, functional PBE.

a b c (Å): 3.6871 3.6871 3.6871
angles (deg): 60.00 60.00 60.00
Fractional coordinates of all 4 atoms:
Sb 0.5000 0.5000 0.5000
H 0.2500 0.2500 0.2500
H 0.7500 0.7500 0.7500
N 0.0000 0.0000 0.0000

Calculated values
Space group   Fm-3m (225)
Total DFT energy (no corrections)   -13.9 eV per cell

---

An optimized crystal structure of SbHN3. Source: Alexandria, functional PBE.

a b c (Å): 4.1184 4.1184 4.1184
angles (deg): 90.00 90.00 90.00
Last column: magnetic moment on the atom in μB.
Fractional coordinates of all 5 atoms:
Sb 0.0000 0.0000 0.0000  -0.06
H 0.5000 0.5000 0.5000  0.34
N 0.0000 0.5000 0.0000  0.98
N 0.0000 0.0000 0.5000  0.88
N 0.5000 0.0000 0.0000  0.99

Calculated values
Space group   Pm-3m (221)
Total DFT energy (no corrections)   -20.9 eV per cell

---

An optimized crystal structure of SbHN2. Source: Alexandria, functional PBE.

a b c (Å): 5.1258 5.1258 5.1258
angles (deg): 36.70 36.70 36.70
Fractional coordinates of all 4 atoms:
Sb 0.5000 0.5000 0.5000
H 0.0000 0.0000 0.0000
N 0.9090 0.9090 0.9090
N 0.0910 0.0910 0.0910

Calculated values
Space group   R-3m (166)
Total DFT energy (no corrections)   -22.8 eV per cell

---

An optimized crystal structure of SbHSe2N. Source: Alexandria, functional PBE.

a b c (Å): 5.4083 5.4083 4.0998
angles (deg): 90.00 90.00 90.00
Last column: magnetic moment on the atom in μB.
Fractional coordinates of all 5 atoms:
Sb 0.0000 0.0000 0.0000  -0.04
H 0.5000 0.5000 0.5000  0.35
Se 0.0000 0.5000 0.0000  0.39
Se 0.5000 0.0000 0.0000  0.39
N 0.0000 0.0000 0.5000  0.63

Calculated values
Space group   P4/mmm (123)
Total DFT energy (no corrections)   -15.8 eV per cell

---

An optimized crystal structure of SbHSe2N. Source: Alexandria, functional PBE.

a b c (Å): 3.6806 3.6806 7.2867
angles (deg): 90.00 90.00 90.00
Last column: magnetic moment on the atom in μB.
Fractional coordinates of all 5 atoms:
Sb 0.5000 0.5000 0.5000  -0.02
H 0.0000 0.0000 0.0000  0.00
Se 0.0000 0.5000 0.0000  0.00
Se 0.5000 0.0000 0.0000  0.00
N 0.0000 0.0000 0.5000  0.20

Calculated values
Space group   P4/mmm (123)
Total DFT energy (no corrections)   -17.3 eV per cell

---

An optimized crystal structure of SrSb2HN. Source: Alexandria, functional PBE.

a b c (Å): 4.2608 6.1558 4.2608
angles (deg): 90.00 90.00 90.00
Last column: magnetic moment on the atom in μB.
Fractional coordinates of all 5 atoms:
Sb 0.0000 0.0000 0.5000  0.05
Sb 0.5000 0.0000 0.0000  0.05
N 0.5000 0.5000 0.5000  1.00
H 0.0000 0.0000 0.0000  0.01
Sr 0.0000 0.5000 0.0000  -0.01

Calculated values
Space group   P4/mmm (123)
Total DFT energy (no corrections)   -18.6 eV per cell

---

An optimized crystal structure of SbTe2HN. Source: Alexandria, functional PBE.

a b c (Å): 5.6757 5.6757 2.9796
angles (deg): 90.00 90.00 90.00
Fractional coordinates of all 5 atoms:
Sb 0.5000 0.5000 0.5000
Te 0.0000 0.5000 0.0000
Te 0.5000 0.0000 0.0000
H 0.0000 0.0000 0.0000
N 0.0000 0.0000 0.5000

Calculated values
Space group   P4/mmm (123)
Total DFT energy (no corrections)   -16.8 eV per cell

---

An optimized crystal structure of SbTe2HN. Source: Alexandria, functional PBE.

a b c (Å): 5.9976 5.9976 3.8698
angles (deg): 90.00 90.00 90.00
Last column: magnetic moment on the atom in μB.
Fractional coordinates of all 5 atoms:
Sb 0.0000 0.0000 0.0000  0.00
Te 0.0000 0.5000 0.0000  -0.12
Te 0.5000 0.0000 0.0000  -0.12
H 0.5000 0.5000 0.5000  0.33
N 0.0000 0.0000 0.5000  -0.05

Calculated values
Space group   P4/mmm (123)
Total DFT energy (no corrections)   -15.4 eV per cell

---

An optimized crystal structure of SbTe2HN. Source: Alexandria, functional PBE.

a b c (Å): 4.7279 4.7279 4.5626
angles (deg): 90.00 90.00 90.00
Last column: magnetic moment on the atom in μB.
Fractional coordinates of all 5 atoms:
Sb 0.0000 0.0000 0.5000  0.03
Te 0.0000 0.5000 0.0000  0.04
Te 0.5000 0.0000 0.0000  0.04
H 0.0000 0.0000 0.0000  0.00
N 0.5000 0.5000 0.5000  1.52

Calculated values
Space group   P4/mmm (123)
Total DFT energy (no corrections)   -15.3 eV per cell

---

What are the D(E_F) values for these records? In order: 2.07, 3.21, 4.52, 1.27, 1.48, 3.10, 1.00, 1.94, 3.74, 0.05, 1.67, 2.20, 2.93, 0.00, 4.99, 1.38, 3.55, 3.66, 4.64, 2.16 states/eV/cell.